An optimized crystal structure of CoBrN2O, computed with GGA+U.

VASP energy ... -0.3095 Ry per atom
Total magnetization ... 1.94 μB per formula unit

Unit cell a=3.768 b=3.768 c=3.854 alpha=90.00 beta=90.00 gamma=90.00
Site moments in Bohr magnetons follow the coordinates.
Fractional coordinates of all 5 atoms:
Co (0.000, 0.000, 0.000)  0.94
O (0.000, 0.000, 0.500)  -0.45
Br (0.500, 0.500, 0.500)  -0.27
N (0.000, 0.500, 0.000)  0.65
N (0.500, 0.000, 0.000)  0.65